Below is crystalline ScNbTe2N at its relaxed geometry, with properties calculated at the GGA-PBE level.

- Fermi-level density of states: 3.33 states/eV per cell
- Uncorrected energy: -31.989 eV per cell
- Theoretical density: 5587 kg/m3
- Crystal system: tetragonal
- Formation energy from raw total energies: -0.20 eV per atom

Geometry as CIF:
```
data_ScNbTe2N
_chemical_formula_sum 'Sc1 Nb1 Te2 N1'
_symmetry_space_group_name_H-M 'P 4/m m m'
_symmetry_Int_Tables_number 123
_symmetry_space_group_name_Hall '-P 4 2'
_cell_length_a 5.567
_cell_length_b 5.567
_cell_length_c 3.903
_cell_angle_alpha 90.00
_cell_angle_beta 90.00
_cell_angle_gamma 90.00
loop_
_atom_site_label
_atom_site_type_symbol
_atom_site_fract_x
_atom_site_fract_y
_atom_site_fract_z
Sc1 Sc 0.000 0.000 0.000
Nb1 Nb 0.500 0.500 0.500
Te1 Te 0.000 0.500 0.500
N1 N 0.500 0.500 0.000
```

=====

Below is crystalline FeHg3As at its relaxed geometry, with properties calculated at the GGA-PBE level.

- Fermi-level density of states: 9.23 states/eV per cell
- Uncorrected energy: -9.406 eV per cell
- E_form: 922.3 meV/atom
- Theoretical density: 8063 kg/m3
- Crystal system: cubic

Geometry as CIF:
```
data_FeHg3As
_chemical_formula_sum 'Fe1 Hg3 As1'
_symmetry_space_group_name_H-M 'P m -3 m'
_symmetry_Int_Tables_number 221
_symmetry_space_group_name_Hall '-P 4 2 3'
_cell_length_a 5.324
_cell_length_b 5.324
_cell_length_c 5.324
_cell_angle_alpha 90.00
_cell_angle_beta 90.00
_cell_angle_gamma 90.00
loop_
_atom_site_label
_atom_site_type_symbol
_atom_site_fract_x
_atom_site_fract_y
_atom_site_fract_z
Fe1 Fe 0.000 0.000 0.000
Hg1 Hg 0.000 0.500 0.500
As1 As 0.500 0.500 0.500
```

=====

Below is crystalline CePu2Ni at its relaxed geometry, with properties calculated at the GGA-PBE level.

- Fermi-level density of states: 61.75 states/eV per cell
- Uncorrected energy: -161.011 eV per cell
- E_form: 31.6 meV/atom
- Theoretical density: 13513 kg/m3
- Crystal system: cubic

Geometry as CIF:
```
data_CePu2Ni
_chemical_formula_sum 'Ce4 Pu8 Ni4'
_symmetry_space_group_name_H-M 'F m -3 m'
_symmetry_Int_Tables_number 225
_symmetry_space_group_name_Hall '-F 4 2 3'
_cell_length_a 6.963
_cell_length_b 6.963
_cell_length_c 6.963
_cell_angle_alpha 90.00
_cell_angle_beta 90.00
_cell_angle_gamma 90.00
loop_
_atom_site_label
_atom_site_type_symbol
_atom_site_fract_x
_atom_site_fract_y
_atom_site_fract_z
Ce1 Ce 0.000 0.000 0.000
Pu1 Pu 0.250 0.250 0.250
Ni1 Ni 0.000 0.000 0.500
```

=====

Below is crystalline Sr2Bi2Sb at its relaxed geometry, with properties calculated at the GGA-PBE level.

- Fermi-level density of states: 10.02 states/eV per cell
- Uncorrected energy: -33.846 eV per cell
- Theoretical density: 6699 kg/m3
- Crystal system: tetragonal
- Formation energy from raw total energies: -0.34 eV per atom

Geometry as CIF:
```
data_Sr2Bi2Sb
_chemical_formula_sum 'Sr4 Bi4 Sb2'
_symmetry_space_group_name_H-M 'P 4/m b m'
_symmetry_Int_Tables_number 127
_symmetry_space_group_name_Hall '-P 4 2ab'
_cell_length_a 9.269
_cell_length_b 9.269
_cell_length_c 4.126
_cell_angle_alpha 90.00
_cell_angle_beta 90.00
_cell_angle_gamma 90.00
loop_
_atom_site_label
_atom_site_type_symbol
_atom_site_fract_x
_atom_site_fract_y
_atom_site_fract_z
Sr1 Sr 0.138 0.362 0.000
Bi1 Bi 0.170 0.670 0.500
Sb1 Sb 0.000 0.000 0.000
```

=====

Below is crystalline La2YMn at its relaxed geometry, with properties calculated at the GGA-PBE level.

- Fermi-level density of states: 11.77 states/eV per cell
- Uncorrected energy: -49.445 eV per cell
- E_form: 191.5 meV/atom
- Theoretical density: 5779 kg/m3
- Crystal system: orthorhombic

Geometry as CIF:
```
data_La2YMn
_chemical_formula_sum 'La4 Y2 Mn2'
_symmetry_space_group_name_H-M 'I m m 2'
_symmetry_Int_Tables_number 44
_cell_length_a 3.801
_cell_length_b 5.585
_cell_length_c 11.415
_cell_angle_alpha 90.00
_cell_angle_beta 90.00
_cell_angle_gamma 90.00
loop_
_symmetry_equiv_pos_as_xyz
'x,y,z'
'-x,-y,z'
'-x,y,z'
'x,-y,z'
'x+1/2,y+1/2,z+1/2'
'-x+1/2,-y+1/2,z+1/2'
'-x+1/2,y+1/2,z+1/2'
'x+1/2,-y+1/2,z+1/2'
loop_
_atom_site_label
_atom_site_type_symbol
_atom_site_fract_x
_atom_site_fract_y
_atom_site_fract_z
La1 La 0.000 0.000 0.000
La2 La 0.000 0.500 0.213
Y1 Y 0.000 0.000 0.426
Mn1 Mn 0.000 0.500 0.719
```

=====

Below is crystalline KLa2Rh at its relaxed geometry, with properties calculated at the GGA-PBE level.

- Fermi-level density of states: 7.68 states/eV per cell
- Uncorrected energy: -39.630 eV per cell
- E_form: -377.8 meV/atom
- Theoretical density: 4185 kg/m3
- Crystal system: monoclinic

Geometry as CIF:
```
data_KLa2Rh
_chemical_formula_sum 'K2 La4 Rh2'
_symmetry_space_group_name_H-M 'C 1 2/m 1'
_symmetry_Int_Tables_number 12
_cell_length_a 7.366
_cell_length_b 4.247
_cell_length_c 10.920
_cell_angle_alpha 90.00
_cell_angle_beta 102.79
_cell_angle_gamma 90.00
loop_
_symmetry_equiv_pos_as_xyz
'x,y,z'
'-x,-y,-z'
'-x,y,-z'
'x,-y,z'
'x+1/2,y+1/2,z'
'-x+1/2,-y+1/2,-z'
'-x+1/2,y+1/2,-z'
'x+1/2,-y+1/2,z'
loop_
_atom_site_label
_atom_site_type_symbol
_atom_site_fract_x
_atom_site_fract_y
_atom_site_fract_z
K1 K 0.000 0.000 0.000
La1 La 0.213 0.000 0.641
Rh1 Rh 0.000 0.500 0.500
```